Crystalline PaNbRh at its relaxed geometry. Source: Alexandria via LeMat-Bulk, functional GGA-PBE.

Summary:
ΔH_f (0 K) = -5.1 kcal/mol of atoms
Uncorrected energy = -9.192 eV/atom
Magnetization = 0.00 μB per cell
Space group = I4mm, No. 107
Crystal system = tetragonal

abc: 3.6285 3.6285 5.0574
angles: 111.02 111.02 90.00
Fractional positions:
Nb  0.6540  0.6540  0.3079
Pa  0.3447  0.3447  0.6895
Rh  0.0013  0.0013  0.0026

Crystalline PaNbRh at its relaxed geometry. Source: Alexandria via LeMat-Bulk, functional GGA-PBE.

Summary:
ΔH_f (0 K) = -1.7 kcal/mol of atoms
Uncorrected energy = -9.046 eV/atom
Magnetization = 0.00 μB per cell
Space group = P-6m2, No. 187
Crystal system = hexagonal

abc: 2.9710 4.7194 4.7194
angles: 120.00 90.00 90.00
Fractional positions:
Pa  0.1664  0.0000  0.0000
Nb  0.6667  0.3333  0.6667
Rh  0.1670  0.6667  0.3333

Crystalline Pa3NbRh12 at its relaxed geometry. Source: Alexandria via LeMat-Bulk, functional GGA-PBE.

Summary:
ΔH_f (0 K) = -18.2 kcal/mol of atoms
Uncorrected energy = -8.714 eV/atom
Magnetization = 0.00 μB per cell
Space group = P4/mmm, No. 123
Crystal system = tetragonal

abc: 4.0230 4.0230 16.0525
angles: 90.00 90.00 90.00
Fractional positions:
Rh  0.5000  0.0000  0.8826
Rh  0.0000  0.5000  0.1174
Rh  0.5000  0.5000  0.0000
Rh  0.5000  0.0000  0.1174
Rh  0.5000  0.5000  0.2447
Rh  0.5000  0.0000  0.6276
Rh  0.0000  0.5000  0.6276
Rh  0.5000  0.0000  0.3724
Rh  0.0000  0.5000  0.3724
Rh  0.5000  0.5000  0.7553
Rh  0.0000  0.5000  0.8826
Rh  0.5000  0.5000  0.5000
Pa  0.0000  0.0000  0.5000
Pa  0.0000  0.0000  0.2459
Pa  0.0000  0.0000  0.7541
Nb  0.0000  0.0000  0.0000

Crystalline PaNbRh2 at its relaxed geometry. Source: Alexandria via LeMat-Bulk, functional GGA-PBE.

Summary:
ΔH_f (0 K) = -4.2 kcal/mol of atoms
Uncorrected energy = -8.751 eV/atom
Magnetization = 0.00 μB per cell
Space group = R-3m, No. 166
Crystal system = trigonal

abc: 3.0140 3.0140 9.3362
angles: 80.71 80.71 60.00
Fractional positions:
Nb  0.0000  0.0000  0.0000
Rh  0.7425  0.7425  0.7726
Rh  0.2575  0.2575  0.2274
Pa  0.5000  0.5000  0.5000

Crystalline PaNbRh2 at its relaxed geometry. Source: Alexandria via LeMat-Bulk, functional GGA-PBE.

Summary:
ΔH_f (0 K) = -10.0 kcal/mol of atoms
Uncorrected energy = -9.000 eV/atom
Magnetization = 0.00 μB per cell
Space group = P4/mmm, No. 123
Crystal system = tetragonal

abc: 3.1604 3.1604 7.2730
angles: 90.00 90.00 90.00
Fractional positions:
Rh  0.0000  0.0000  0.7839
Rh  0.0000  0.0000  0.2161
Nb  0.5000  0.5000  0.0000
Pa  0.5000  0.5000  0.5000

Crystalline PaNbRh2 at its relaxed geometry. Source: Alexandria via LeMat-Bulk, functional GGA-PBE.

Summary:
ΔH_f (0 K) = -11.0 kcal/mol of atoms
Uncorrected energy = -9.044 eV/atom
Magnetization = 0.00 μB per cell
Space group = P4/mmm, No. 123
Crystal system = tetragonal

abc: 4.0078 4.2271 4.2271
angles: 90.00 90.00 90.00
Fractional positions:
Nb  0.5000  0.0000  0.0000
Rh  0.0000  0.5000  0.0000
Rh  0.0000  0.0000  0.5000
Pa  0.5000  0.5000  0.5000

Crystalline PaNbRh at its relaxed geometry. Source: Alexandria via LeMat-Bulk, functional GGA-PBE.

Summary:
ΔH_f (0 K) = 0.6 kcal/mol of atoms
Uncorrected energy = -8.948 eV/atom
Magnetization = 0.92 μB per cell
Space group = R3m, No. 160
Crystal system = trigonal

abc: 3.5306 3.5306 6.1367
angles: 73.28 73.28 60.00
Last column: magnetic moment on the atom in μB.
Fractional positions:
Pa  0.3204  0.3204  0.0388  0.28
Nb  0.1096  0.1096  0.6713  0.54
Rh  0.5554  0.5554  0.3339  0.04

Crystalline ScPaNbRh at its relaxed geometry. Source: Alexandria via LeMat-Bulk, functional GGA-PBE.

Summary:
ΔH_f (0 K) = -7.2 kcal/mol of atoms
Uncorrected energy = -8.623 eV/atom
Magnetization = 0.00 μB per cell
Space group = F-43m, No. 216
Crystal system = cubic

abc: 4.8048 4.8048 4.8048
angles: 60.00 60.00 60.00
Fractional positions:
Rh  0.7500  0.7500  0.7500
Pa  0.0000  0.0000  0.0000
Nb  0.2500  0.2500  0.2500
Sc  0.5000  0.5000  0.5000